No. 1
LuCuReSb: optimized geometry, GGA-PBE.

Uncorrected energy, eV per atom: -6.015
Volume, Å³ per cell: 286.5
Mass density, Mg/m³: 12.67

Cell lengths 6.5927, 6.5927, 6.5927 Å; angles 90.00, 90.00, 90.00 degrees
Last column: nearest neighbours and their distance in Å.
Space group F-43m (No. 216)
One atom of each set of equivalent atoms:
Lu 0.0000 0.0000 0.0000 [4 per cell]  4 Cu 2.85, 4 Re 2.85
Cu 0.2500 0.2500 0.7500 [4 per cell]  4 Sb 2.85, 4 Lu 2.85
Re 0.2500 0.2500 0.2500 [4 per cell]  4 Lu 2.85, 4 Sb 2.85
Sb 0.0000 0.0000 0.5000 [4 per cell]  4 Re 2.85, 4 Cu 2.85



No. 2
TaZnCuIr: optimized geometry, GGA-PBE.

ΔH_f (0 K), meV/atom: -122
Uncorrected energy, eV per atom: -6.544
Volume, Å³ per cell: 236.4
Mass density, Mg/m³: 14.11

Cell lengths 6.1830, 6.1830, 6.1830 Å; angles 90.00, 90.00, 90.00 degrees
Last column: nearest neighbours and their distance in Å.
Space group F-43m (No. 216)
One atom of each set of equivalent atoms:
Ta 0.0000 0.0000 0.0000 [4 per cell]  4 Ir 2.68, 4 Zn 2.68
Zn 0.2500 0.2500 0.2500 [4 per cell]  4 Ta 2.68, 4 Cu 2.68
Cu 0.0000 0.0000 0.5000 [4 per cell]  4 Zn 2.68, 4 Ir 2.68
Ir 0.2500 0.2500 0.7500 [4 per cell]  4 Ta 2.68, 4 Cu 2.68



No. 3
LuNb2Sn: optimized geometry, GGA-PBE.

Uncorrected energy, eV per atom: -7.239
Volume, Å³ per cell: 330.5
Mass density, Mg/m³: 9.64

Cell lengths 6.9139, 6.9139, 6.9139 Å; angles 90.00, 90.00, 90.00 degrees
Last column: nearest neighbours and their distance in Å.
Space group F-43m (No. 216)
One atom of each set of equivalent atoms:
Lu 0.0000 0.0000 0.0000 [4 per cell]  4 Sn 2.99, 4 Nb 2.99
Nb 0.0000 0.0000 0.5000 [4 per cell]  4 Nb 2.99, 4 Sn 2.99
Nb 0.2500 0.2500 0.2500 [4 per cell]  4 Nb 2.99, 4 Lu 2.99
Sn 0.2500 0.2500 0.7500 [4 per cell]  4 Nb 2.99, 4 Lu 2.99



No. 4
La2CuGe4Pt: optimized geometry, GGA-PBE.

Uncorrected energy, eV per atom: -5.549
Volume, Å³ per cell: 335.3
Mass density, Mg/m³: 8.19

Cell lengths 4.3897, 4.4109, 17.3150 Å; angles 90.00, 90.00, 90.00 degrees
Last column: nearest neighbours and their distance in Å.
Space group Amm2 (No. 38)
One atom of each set of equivalent atoms:
La 0.0000 0.0000 0.0000 [2 per cell]  10 Ge 3.32-3.39, 4 Pt 3.37
La 0.5000 0.0000 0.2146 [2 per cell]  10 Ge 3.23-3.36, 4 Cu 3.32
Cu 0.0000 0.0000 0.7817 [2 per cell]  5 Ge 2.39-2.52
Ge 0.0000 0.0000 0.3513 [2 per cell]  2 Cu 2.51, 2 Pt 2.54
Ge 0.0000 0.0000 0.6434 [2 per cell]  1 Cu 2.39, 2 Ge 2.55
Ge 0.5000 0.0000 0.5680 [2 per cell]  1 Pt 2.48, 2 Ge 2.55
Ge 0.5000 0.0000 0.8528 [2 per cell]  2 Cu 2.52, 2 Pt 2.53
Pt 0.5000 0.0000 0.4246 [2 per cell]  5 Ge 2.48-2.54



No. 5
LaTlFeTe3: optimized geometry, GGA-PBE.

Uncorrected energy, eV per atom: -4.842
Volume, Å³ per cell: 823.7
Mass density, Mg/m³: 6.31

Cell lengths 4.4440, 15.4880, 11.9675 Å; angles 90.00, 90.00, 90.00 degrees
Last column: nearest neighbours and their distance in Å.
Space group Cmcm (No. 63)
One atom of each set of equivalent atoms:
La 0.0000 0.0000 0.0000 [4 per cell]  6 Te 3.18-3.21
Tl 0.0000 0.2489 0.2500 [4 per cell]  6 Te 3.49-3.59
Fe 0.0000 0.4685 0.7500 [4 per cell]  4 Te 2.63-2.71
Te 0.0000 0.0690 0.7500 [4 per cell]  2 Fe 2.71
Te 0.0000 0.3629 0.5779 [8 per cell]  1 Fe 2.63



No. 6
SrHgTeO: optimized geometry, GGA-PBE.

Uncorrected energy, eV per atom: -3.464
Volume, Å³ per cell: 197.1
Mass density, Mg/m³: 7.28

Cell lengths 4.4570, 4.4570, 9.9229 Å; angles 90.00, 90.00, 90.00 degrees
Last column: nearest neighbours and their distance in Å.
Space group P4/nmm (No. 129, origin choice 2)
One atom of each set of equivalent atoms:
Sr 0.2500 0.2500 0.2400 [2 per cell]  4 O 3.26, 5 Hg 3.33-3.46, 4 Te 3.41
Hg 0.2500 0.2500 0.9045 [2 per cell]  4 O 2.42
Te 0.2500 0.2500 0.6292 [2 per cell]  1 Hg 2.73
O 0.2500 0.7500 0.0000 [2 per cell]  4 Hg 2.42